Entry 1:
The following is a GGA-PBE calculation of a relaxed structure of Tb8SbC4, from Alexandria via LeMat-Bulk.

The value obtained for the density of states at the Fermi level is 0.4637 states/eV/atom. The total energy is -6.216 eV/atom. The distance to the lowest polymorph of the same formula is 0.124 eV/atom. The calculation puts the volume at 324 Å³/f.u. As for the total magnetization: 0.0 μB/f.u. For the uncorrected formation energy, the calculation gives -0.211 eV per atom.

The space group is F-43m (No. 216) and the conventional cell measures 10.908, 10.908 and 10.908 Å, with angles of 90.00, 90.00 and 90.00 degrees. The distinct sites, in fractional coordinates, are Tb at (0.102, 0.102, 0.102), Tb at (0.140, 0.140, 0.640), Sb at (0.250, 0.250, 0.250) and C at (0.129, 0.129, 0.871).

---

Entry 2:
The following is a GGA-PBE calculation of a relaxed structure of Tb8SbC4, from Alexandria via LeMat-Bulk.

The value obtained for the density of states at the Fermi level is 0.7856 states/eV/atom. The total energy is -6.339 eV/atom. The distance to the lowest polymorph of the same formula is 0.000 eV/atom. The calculation puts the volume at 286 Å³/f.u. As for the total magnetization: 0.0 μB/f.u. For the uncorrected formation energy, the calculation gives -0.335 eV per atom.

The space group is C2/m (No. 12) and the conventional cell measures 17.391, 3.649 and 11.874 Å, with angles of 90.00, 130.59 and 90.00 degrees. The distinct sites, in fractional coordinates, are Tb at (0.042, 0.000, 0.240), Tb at (0.130, 0.500, 0.087), Tb at (0.165, 0.500, 0.838), Tb at (0.203, 0.500, 0.568), Sb at (0.000, 0.000, 0.500), C at (0.148, 0.000, 0.959) and C at (0.167, 0.500, 0.331).

---

Entry 3:
The following is a GGA-PBE calculation of a relaxed structure of Tb8Sb2C3, from Alexandria via LeMat-Bulk.

The value obtained for the density of states at the Fermi level is 0.7290 states/eV/atom. The total energy is -6.073 eV/atom. The calculation puts the volume at 341 Å³/f.u. As for the total magnetization: 0.0 μB/f.u. For the uncorrected formation energy, the calculation gives -0.461 eV per atom.

The space group is C2/m (No. 12) and the conventional cell measures 15.133, 7.304 and 6.437 Å, with angles of 90.00, 106.40 and 90.00 degrees. The distinct sites, in fractional coordinates, are Tb at (0.092, 0.000, 0.397), Tb at (0.092, 0.240, 0.889), Tb at (0.095, 0.500, 0.416), Sb at (0.246, 0.500, 0.178), C at (0.000, 0.000, 0.000) and C at (0.000, 0.253, 0.500).

---

Entry 4:
The following is a GGA-PBE calculation of a relaxed structure of Tb3SbC, from Alexandria via LeMat-Bulk.

The value obtained for the density of states at the Fermi level is 0.5901 states/eV/atom. The total energy is -6.060 eV/atom. The calculation puts the volume at 118 Å³/f.u. As for the total magnetization: 0.0 μB/f.u. For the uncorrected formation energy, the calculation gives -0.612 eV per atom.

The space group is Pm-3m (No. 221) and the conventional cell measures 4.901, 4.901 and 4.901 Å, with angles of 90.00, 90.00 and 90.00 degrees. The distinct sites, in fractional coordinates, are Tb at (0.000, 0.000, 0.500), Sb at (0.500, 0.500, 0.500) and C at (0.000, 0.000, 0.000).

---

Entry 5:
The following is a GGA-PBE calculation of a relaxed structure of Tb5Sb2C, from Alexandria via LeMat-Bulk.

The value obtained for the density of states at the Fermi level is 0.5997 states/eV/atom. The total energy is -5.535 eV/atom. The calculation puts the volume at 218 Å³/f.u. As for the total magnetization: 0.0 μB/f.u. For the uncorrected formation energy, the calculation gives -0.458 eV per atom.

The space group is Cmcm (No. 63) and the conventional cell measures 5.641, 10.239 and 15.064 Å, with angles of 90.00, 90.00 and 90.00 degrees. The distinct sites, in fractional coordinates, are Tb at (0.000, 0.093, 0.133), Tb at (0.000, 0.256, 0.750), Tb at (0.000, 0.402, 0.133), Sb at (0.000, 0.224, 0.557) and C at (0.000, 0.252, 0.250).

---

Entry 6:
The following is a GGA-PBE calculation of a relaxed structure of Tb6Sb2C, from Alexandria via LeMat-Bulk.

The value obtained for the density of states at the Fermi level is 1.1231 states/eV/atom. The total energy is -5.630 eV/atom. The calculation puts the volume at 246 Å³/f.u. As for the total magnetization: 0.0 μB/f.u. For the uncorrected formation energy, the calculation gives -0.602 eV per atom.

The space group is P2_1/c (No. 14) and the conventional cell measures 6.418, 7.907 and 11.462 Å, with angles of 90.00, 122.22 and 90.00 degrees. The distinct sites, in fractional coordinates, are Tb at (0.130, 0.164, 0.459), Tb at (0.318, 0.711, 0.455), Tb at (0.360, 0.026, 0.252), Sb at (0.182, 0.107, 0.757) and C at (0.500, 0.000, 0.500).

---

Entry 7:
The following is a GGA-PBE calculation of a relaxed structure of Tb5Sb4C, from Alexandria via LeMat-Bulk.

The value obtained for the density of states at the Fermi level is 0.3457 states/eV/atom. The total energy is -5.715 eV/atom. The calculation puts the volume at 275 Å³/f.u. As for the total magnetization: 0.0 μB/f.u. For the uncorrected formation energy, the calculation gives -0.828 eV per atom.

The space group is I4 (No. 79) and the conventional cell measures 9.446, 9.446 and 6.157 Å, with angles of 90.00, 90.00 and 90.00 degrees. The distinct sites, in fractional coordinates, are Tb at (0.000, 0.000, 0.000), Tb at (0.094, 0.746, 0.560), Sb at (0.084, 0.689, 0.063) and C at (0.000, 0.000, 0.608).

---

Entry 8:
The following is a GGA-PBE calculation of a relaxed structure of Tb5Sb2C2, from Alexandria via LeMat-Bulk.

The value obtained for the density of states at the Fermi level is 0.3042 states/eV/atom. The total energy is -6.038 eV/atom. The calculation puts the volume at 225 Å³/f.u. As for the total magnetization: 0.0 μB/f.u. For the uncorrected formation energy, the calculation gives -0.500 eV per atom.

The space group is C2/m (No. 12) and the conventional cell measures 13.206, 5.252 and 7.036 Å, with angles of 90.00, 112.81 and 90.00 degrees. The distinct sites, in fractional coordinates, are Tb at (0.000, 0.000, 0.000), Tb at (0.146, 0.000, 0.549), Tb at (0.162, 0.500, 0.900), Sb at (0.103, 0.500, 0.304) and C at (0.150, 0.000, 0.872).

---

- What is the total magnetization in the eighth record?
  0.0 μB/f.u.

---

- Which of these has the highest volume?
  Tb8Sb2C3